The following is a PBE-GGA calculation of an optimized crystal structure of CoCu2PN, from Alexandria via LeMat-Bulk.

abc: 3.672 3.672 4.474
angles: 90.00 90.00 90.00
Atoms (fractional coordinates):
Co: 0.000 0.000 0.000
Cu: 0.000 0.500 0.500
Cu: 0.500 0.000 0.500
P: 0.500 0.500 0.000
N: 0.500 0.500 0.500

space-group type: P4/mmm
formation energy without anion corrections: 0.635 eV/atom

***

The following is a PBE-GGA calculation of an optimized crystal structure of CoCuRh2N, from Alexandria via LeMat-Bulk.

abc: 4.057 4.057 3.686
angles: 90.00 90.00 90.00
Atoms (fractional coordinates):
Co: 0.000 0.000 0.000
Cu: 0.500 0.500 0.000
Rh: 0.000 0.500 0.500
Rh: 0.500 0.000 0.500
N: 0.000 0.000 0.500

space-group type: P4/mmm
formation energy without anion corrections: 0.164 eV/atom

***

The following is a PBE-GGA calculation of an optimized crystal structure of CoCuRu2N, from Alexandria via LeMat-Bulk.

abc: 3.998 3.998 3.735
angles: 90.00 90.00 90.00
Atoms (fractional coordinates):
Co: 0.000 0.000 0.000
Cu: 0.500 0.500 0.000
Ru: 0.000 0.500 0.500
Ru: 0.500 0.000 0.500
N: 0.000 0.000 0.500

space-group type: P4/mmm
formation energy without anion corrections: 0.256 eV/atom

***

The following is a PBE-GGA calculation of an optimized crystal structure of CoCuSN2, from Alexandria via LeMat-Bulk.

abc: 3.514 3.514 6.258
angles: 90.00 90.00 90.00
Atoms (fractional coordinates):
Co: 0.000 0.000 0.000
Cu: 0.500 0.500 0.500
S: 0.500 0.500 0.000
N: 0.000 0.500 0.500
N: 0.500 0.000 0.500

offset from the most stable computed form: 645 meV per atom
space-group type: P4/mmm
formation energy without anion corrections: 1.634 eV/atom

***

The following is a PBE-GGA calculation of an optimized crystal structure of CoCuSN, from Alexandria via LeMat-Bulk.

abc: 6.211 6.211 6.211
angles: 28.09 28.09 28.09
Atoms (fractional coordinates):
Co: 0.000 0.000 0.000
Cu: 0.818 0.818 0.818
S: 0.241 0.241 0.241
N: 0.713 0.713 0.713

offset from the most stable computed form: 187 meV per atom
space-group type: R3m
formation energy without anion corrections: 0.274 eV/atom

***

The following is a PBE-GGA calculation of an optimized crystal structure of CoCuSN, from Alexandria via LeMat-Bulk.

abc: 2.946 2.946 6.158
angles: 90.00 90.00 120.00
Atoms (fractional coordinates):
Co: 0.000 0.000 0.000
Cu: 0.667 0.333 0.443
S: 0.333 0.667 0.721
N: 0.667 0.333 0.138

offset from the most stable computed form: 160 meV per atom
space-group type: P3m1
formation energy without anion corrections: 0.247 eV/atom

***

The following is a PBE-GGA calculation of an optimized crystal structure of CoCuS2N, from Alexandria via LeMat-Bulk.

abc: 4.674 4.674 3.554
angles: 90.00 90.00 90.00
Atoms (fractional coordinates):
Co: 0.000 0.000 0.000
Cu: 0.500 0.500 0.500
S: 0.000 0.500 0.500
S: 0.500 0.000 0.500
N: 0.500 0.500 0.000

offset from the most stable computed form: 603 meV per atom
space-group type: P4/mmm
formation energy without anion corrections: 1.219 eV/atom

***

The following is a PBE-GGA calculation of an optimized crystal structure of CoCuS2N, from Alexandria via LeMat-Bulk.

abc: 4.663 4.663 3.329
angles: 90.00 90.00 90.00
Atoms (fractional coordinates):
Co: 0.000 0.000 0.000
Cu: 0.500 0.500 0.500
S: 0.000 0.500 0.000
S: 0.500 0.000 0.000
N: 0.000 0.000 0.500

offset from the most stable computed form: 0 meV per atom
space-group type: P4/mmm
formation energy without anion corrections: 0.615 eV/atom

***

Number 1: total moment 1.130 Bohr magnetons per cell, energy -5.17 eV/atom. Number 2: total moment 1.351 Bohr magnetons per cell, energy -6.68 eV/atom. Number 3: total moment 2.048 Bohr magnetons per cell, energy -7.36 eV/atom. Number 4: total moment 4.173 Bohr magnetons per cell, energy -4.76 eV/atom. Number 5: total moment 0.000 Bohr magnetons per cell, energy -5.64 eV/atom. Number 6: total moment 0.000 Bohr magnetons per cell, energy -5.67 eV/atom. Number 7: total moment 4.157 Bohr magnetons per cell, energy -4.34 eV/atom. Number 8: total moment 0.000 Bohr magnetons per cell, energy -4.94 eV/atom.